Entry 1:
Entry from the Alexandria database: a relaxed structure of CaTl2 (PBE).

Computed properties:
- crystal system = monoclinic

abc: 10.4243 5.0480 6.8429
angles: 90.00 103.01 90.00
Space group C2/m (No. 12)
One atom of each set of equivalent atoms:
Ca: 0.1569 0.0000 0.3082 (multiplicity 4)
Tl: 0.0000 0.5000 0.0000 (multiplicity 2)
Tl: 0.0000 0.5000 0.5000 (multiplicity 2)
Tl: 0.1692 0.0000 0.8162 (multiplicity 4)

=====

Entry 2:
Entry from the Alexandria database: a relaxed structure of CaTl (PBE).

Computed properties:
- crystal system = cubic

abc: 9.5205 9.5205 9.5205
angles: 90.00 90.00 90.00
Space group I-43m (No. 217)
One atom of each set of equivalent atoms:
Ca: 0.1976 0.1976 0.1976 (multiplicity 8)
Tl: 0.1184 0.1184 0.8816 (multiplicity 8)

=====

Entry 3:
Entry from the Alexandria database: a relaxed structure of CaTl (PBE).

Computed properties:
- crystal system = trigonal

abc: 3.8262 3.8262 15.0898
angles: 90.00 90.00 120.00
Space group R-3m (No. 166, hexagonal axes)
One atom of each set of equivalent atoms:
Ca: 0.0000 0.0000 0.0000 (multiplicity 3)
Tl: 0.0000 0.0000 0.5000 (multiplicity 3)

=====

Entry 4:
Entry from the Alexandria database: a relaxed structure of Ca3Tl (PBE).

Computed properties:
- crystal system = trigonal

abc: 3.8357 3.8357 34.7525
angles: 90.00 90.00 120.00
Space group R-3m (No. 166, hexagonal axes)
One atom of each set of equivalent atoms:
Ca: 0.0000 0.0000 0.0000 (multiplicity 3)
Ca: 0.0000 0.0000 0.2387 (multiplicity 6)
Tl: 0.0000 0.0000 0.5000 (multiplicity 3)

=====

Entry 5:
Entry from the Alexandria database: a relaxed structure of Ca4Tl (PBE).

Computed properties:
- crystal system = cubic
- E above lowest polymorph (eV per atom) = 0.115

abc: 6.0433 6.0433 6.0433
angles: 90.00 90.00 90.00
Space group Pm-3m (No. 221)
One atom of each set of equivalent atoms:
Ca: 0.0000 0.0000 0.0000 (multiplicity 1)
Ca: 0.0000 0.5000 0.5000 (multiplicity 3)
Tl: 0.5000 0.5000 0.5000 (multiplicity 1)

=====

Entry 6:
Entry from the Alexandria database: a relaxed structure of CaTl2 (PBE).

Computed properties:
- crystal system = cubic

abc: 7.5751 7.5751 7.5751
angles: 90.00 90.00 90.00
Space group Pa-3 (No. 205)
One atom of each set of equivalent atoms:
Ca: 0.0000 0.0000 0.0000 (multiplicity 4)
Tl: 0.1192 0.6192 0.8808 (multiplicity 8)

=====

Number 1: ΔE_f -0.2868 eV per atom, size of the total moment 0.00 μB/f.u.. Number 2: ΔE_f 0.1049 eV per atom, size of the total moment 0.00 μB/f.u.. Number 3: ΔE_f -0.2688 eV per atom, size of the total moment 0.00 μB/f.u.. Number 4: ΔE_f -0.1515 eV per atom, size of the total moment 0.00 μB/f.u.. Number 5: ΔE_f -0.0050 eV per atom, size of the total moment 0.00 μB/f.u.. Number 6: ΔE_f 0.0996 eV per atom, size of the total moment 0.00 μB/f.u..